! PBE+U RbAlV2O8, optimized geometry; values from VASP
! * mass density: 2.7 g/cm³
! * spin magnetization: 0.171 μB per atom
! * crystal system: trigonal
! * N(E_F): 4.891 states/eV per cell
! * VASP energy: -6.79 eV per atom
&SYSTEM
  ibrav = 0, nat = 12, ntyp = 4
/
ATOMIC_SPECIES
Rb 85.47 Rb.upf
Al 26.98 Al.upf
V 50.94 V.upf
O 16.00 O.upf
CELL_PARAMETERS angstrom
5.5437 0.0000 0.0000
-2.7718 4.8010 0.0000
0.0000 0.0000 7.8291
ATOMIC_POSITIONS crystal
Rb 0.0000 0.0000 0.0000
Al 0.0000 0.0000 0.5000
V 0.6667 0.3333 0.2912
V 0.3333 0.6667 0.7088
O 0.3333 0.6667 0.9235
O 0.3196 0.1598 0.3617
O 0.8402 0.1599 0.3617
O 0.6667 0.3333 0.0765
O 0.1598 0.8401 0.6383
O 0.6804 0.8402 0.6383
O 0.1599 0.3196 0.6383
O 0.8401 0.6804 0.3617